No. 1
Here is crystalline PrAsO4F at its relaxed geometry from Alexandria via LeMat-Bulk. Energies are from GGA-PBE. Values from VASP.

```
&SYSTEM
  ibrav = 0, nat = 14, ntyp = 4
/
ATOMIC_SPECIES
Pr 140.91 Pr.upf
As 74.92 As.upf
O 16.00 O.upf
F 19.00 F.upf
CELL_PARAMETERS angstrom
4.943 -3.762 0.000
4.943 3.762 0.000
-2.032 0.000 6.646
ATOMIC_POSITIONS crystal
Pr 0.204 0.204 0.110
Pr 0.796 0.796 0.890
As 0.354 0.354 0.731
As 0.646 0.646 0.269
O 0.123 0.476 0.848
O 0.282 0.282 0.477
O 0.465 0.465 0.219
O 0.476 0.123 0.848
O 0.524 0.877 0.152
O 0.535 0.535 0.781
O 0.718 0.718 0.523
O 0.877 0.524 0.152
F 0.012 0.012 0.818
F 0.988 0.988 0.182
```

**Formation energy from raw total energies**: -2.0865 eV per atom
**Space group**: C2/m (12)
**Calculated density**: 4.01 g cm⁻³

No. 2
Here is crystalline TmPd5Pt2 at its relaxed geometry from Alexandria via LeMat-Bulk. Energies are from GGA-PBE. Values from VASP.

```
&SYSTEM
  ibrav = 0, nat = 16, ntyp = 3
/
ATOMIC_SPECIES
Tm 168.93 Tm.upf
Pd 106.42 Pd.upf
Pt 195.08 Pt.upf
CELL_PARAMETERS angstrom
-3.507 3.507 5.510
3.507 -3.507 5.510
3.507 3.507 -5.510
ATOMIC_POSITIONS crystal
Tm 0.250 0.250 0.000
Tm 0.750 0.750 0.000
Pd 0.000 0.000 0.000
Pd 0.016 0.516 0.203
Pd 0.187 0.984 0.500
Pd 0.313 0.813 0.797
Pd 0.484 0.687 0.500
Pd 0.500 0.500 0.000
Pd 0.516 0.313 0.500
Pd 0.687 0.187 0.203
Pd 0.813 0.016 0.500
Pd 0.984 0.484 0.797
Pt 0.144 0.356 0.500
Pt 0.356 0.856 0.211
Pt 0.644 0.144 0.789
Pt 0.856 0.644 0.500
```

**Energy of formation**: -0.29 eV per atom
**Space group**: I4/mcm (140)
**Polymorph energy (0 for the lowest one)**: 0.186 eV/atom
**Calculated density**: 13.37 g cm⁻³

No. 3
Here is crystalline SrAs2IrO8 at its relaxed geometry from Alexandria via LeMat-Bulk. Energies are from GGA-PBE. Values from VASP.

```
&SYSTEM
  ibrav = 0, nat = 12, ntyp = 4
/
ATOMIC_SPECIES
Sr 87.62 Sr.upf
As 74.92 As.upf
Ir 192.22 Ir.upf
O 16.00 O.upf
CELL_PARAMETERS angstrom
5.475 0.000 0.000
-2.738 4.742 0.000
0.000 0.000 7.169
ATOMIC_POSITIONS crystal
Sr 0.000 0.000 0.000
As 0.333 0.667 0.251
As 0.667 0.333 0.749
Ir 0.000 0.000 0.500
O 0.156 0.313 0.313
O 0.156 0.844 0.313
O 0.313 0.156 0.687
O 0.333 0.667 0.017
O 0.667 0.333 0.983
O 0.687 0.844 0.313
O 0.844 0.156 0.687
O 0.844 0.687 0.687
```

**Formation energy from raw total energies**: -1.3006 eV per atom
**Space group**: P-3m1 (164)
**Calculated density**: 4.98 g cm⁻³

No. 4
Here is crystalline BeS2NO at its relaxed geometry from Alexandria via LeMat-Bulk. Energies are from GGA-PBE. Values from VASP.

```
&SYSTEM
  ibrav = 0, nat = 5, ntyp = 4
/
ATOMIC_SPECIES
Be 9.01 Be.upf
S 32.06 S.upf
N 14.01 N.upf
O 16.00 O.upf
CELL_PARAMETERS angstrom
4.388 0.000 0.000
0.000 4.388 0.000
0.000 0.000 3.096
ATOMIC_POSITIONS crystal
Be 0.000 0.000 0.000
S 0.000 0.500 0.000
S 0.500 0.000 0.000
N 0.000 0.000 0.500
O 0.500 0.500 0.500
```

**Formation energy from raw total energies**: 1.1665 eV per atom
**Space group**: P4/mmm (123)
**Polymorph energy (0 for the lowest one)**: 0.000 eV/atom
**Calculated density**: 2.87 g cm⁻³

No. 5
Here is crystalline ZrAs2Pt at its relaxed geometry from Alexandria via LeMat-Bulk. Energies are from GGA-PBE. Values from VASP.

```
&SYSTEM
  ibrav = 0, nat = 4, ntyp = 3
/
ATOMIC_SPECIES
Zr 91.22 Zr.upf
As 74.92 As.upf
Pt 195.08 Pt.upf
CELL_PARAMETERS angstrom
1.563 0.903 8.641
-1.563 0.903 8.641
0.000 -1.805 8.641
ATOMIC_POSITIONS crystal
Zr 0.000 0.000 0.000
As 0.245 0.245 0.245
As 0.755 0.755 0.755
Pt 0.500 0.500 0.500
```

**Energy of formation**: -0.15 eV per atom
**Space group**: R-3m (166)
**Calculated density**: 9.90 g cm⁻³

No. 6
Here is crystalline LaMn2Cd at its relaxed geometry from Alexandria via LeMat-Bulk. Energies are from GGA-PBE. Values from VASP.

```
&SYSTEM
  ibrav = 0, nat = 4, ntyp = 3
/
ATOMIC_SPECIES
La 138.91 La.upf
Mn 54.94 Mn.upf
Cd 112.41 Cd.upf
CELL_PARAMETERS angstrom
3.688 0.000 0.000
0.000 2.205 5.296
0.000 -2.205 5.296
ATOMIC_POSITIONS crystal
La 0.000 0.000 0.000
Mn 0.000 0.282 0.282
Mn 0.500 0.408 0.408
Cd 0.500 0.708 0.708
```

**Energy of formation**: 0.26 eV per atom
**Space group**: Amm2 (38)
**Calculated density**: 6.97 g cm⁻³

No. 7
Here is crystalline K3Er3CrSe8 at its relaxed geometry from Alexandria via LeMat-Bulk. Energies are from GGA-PBE. Values from VASP.

```
&SYSTEM
  ibrav = 0, nat = 15, ntyp = 4
/
ATOMIC_SPECIES
K 39.10 K.upf
Er 167.26 Er.upf
Cr 52.00 Cr.upf
Se 78.96 Se.upf
CELL_PARAMETERS angstrom
6.966 -4.016 0.000
6.966 4.016 0.000
-4.649 0.000 7.924
ATOMIC_POSITIONS crystal
K 0.000 0.000 0.000
K 0.000 0.500 0.000
K 0.500 0.000 0.000
Er 0.000 0.500 0.500
Er 0.500 0.000 0.500
Er 0.500 0.500 0.500
Cr 0.000 0.000 0.500
Se 0.217 0.217 0.690
Se 0.217 0.756 0.690
Se 0.244 0.783 0.310
Se 0.265 0.265 0.294
Se 0.735 0.735 0.706
Se 0.756 0.217 0.690
Se 0.783 0.244 0.310
Se 0.783 0.783 0.310
```

**Formation energy from raw total energies**: -1.4293 eV per atom
**Space group**: C2/m (12)
**Calculated density**: 4.88 g cm⁻³

No. 8
Here is crystalline HfCd2I8 at its relaxed geometry from Alexandria via LeMat-Bulk. Energies are from GGA-PBE. Values from VASP.

```
&SYSTEM
  ibrav = 0, nat = 11, ntyp = 3
/
ATOMIC_SPECIES
Hf 178.49 Hf.upf
Cd 112.41 Cd.upf
I 126.90 I.upf
CELL_PARAMETERS angstrom
8.200 -4.417 0.000
8.200 4.417 0.000
-0.014 0.000 7.163
ATOMIC_POSITIONS crystal
Hf 0.000 0.000 0.000
Cd 0.167 0.167 0.598
Cd 0.833 0.833 0.402
I 0.154 0.154 0.195
I 0.170 0.705 0.238
I 0.295 0.830 0.762
I 0.327 0.327 0.686
I 0.673 0.673 0.314
I 0.705 0.170 0.238
I 0.830 0.295 0.762
I 0.846 0.846 0.805
```

**Formation energy from raw total energies**: -0.6630 eV per atom
**Space group**: C2/m (12)
**Calculated density**: 4.54 g cm⁻³

No. 9
Here is crystalline CaTb2Ce at its relaxed geometry from Alexandria via LeMat-Bulk. Energies are from GGA-PBE. Values from VASP.

```
&SYSTEM
  ibrav = 0, nat = 4, ntyp = 3
/
ATOMIC_SPECIES
Ca 40.08 Ca.upf
Tb 158.93 Tb.upf
Ce 140.12 Ce.upf
CELL_PARAMETERS angstrom
1.759 1.016 12.394
-1.759 1.016 12.394
0.000 -2.032 12.394
ATOMIC_POSITIONS crystal
Ca 0.000 0.000 0.000
Tb 0.092 0.092 0.092
Tb 0.908 0.908 0.908
Ce 0.500 0.500 0.500
```

**Energy of formation**: 0.18 eV per atom
**Space group**: R-3m (166)
**Polymorph energy (0 for the lowest one)**: 0.092 eV/atom
**Calculated density**: 6.22 g cm⁻³

No. 10
Here is crystalline TiBS2N at its relaxed geometry from Alexandria via LeMat-Bulk. Energies are from GGA-PBE. Values from VASP.

```
&SYSTEM
  ibrav = 0, nat = 5, ntyp = 4
/
ATOMIC_SPECIES
Ti 47.87 Ti.upf
B 10.81 B.upf
S 32.06 S.upf
N 14.01 N.upf
CELL_PARAMETERS angstrom
4.775 0.000 0.000
0.000 4.775 0.000
0.000 0.000 3.851
ATOMIC_POSITIONS crystal
Ti 0.000 0.000 0.000
B 0.500 0.500 0.500
S 0.000 0.500 0.000
S 0.500 0.000 0.000
N 0.000 0.000 0.500
```

**Formation energy from raw total energies**: 0.8163 eV per atom
**Space group**: P4/mmm (123)
**Polymorph energy (0 for the lowest one)**: 0.768 eV/atom
**Calculated density**: 2.59 g cm⁻³

No. 11
Here is crystalline LiHgIr3 at its relaxed geometry from Alexandria via LeMat-Bulk. Energies are from GGA-PBE. Values from VASP.

```
&SYSTEM
  ibrav = 0, nat = 5, ntyp = 3
/
ATOMIC_SPECIES
Li 6.94 Li.upf
Hg 200.59 Hg.upf
Ir 192.22 Ir.upf
CELL_PARAMETERS angstrom
4.233 0.000 0.000
0.000 4.233 0.000
0.000 0.000 4.233
ATOMIC_POSITIONS crystal
Li 0.000 0.000 0.000
Hg 0.500 0.500 0.500
Ir 0.000 0.000 0.500
Ir 0.000 0.500 0.000
Ir 0.500 0.000 0.000
```

**Energy of formation**: 1.01 eV per atom
**Space group**: Pm-3m (221)
**Polymorph energy (0 for the lowest one)**: 0.000 eV/atom
**Calculated density**: 17.17 g cm⁻³

No. 12
Here is crystalline K2Ga3BiAu12 at its relaxed geometry from Alexandria via LeMat-Bulk. Energies are from GGA-PBE. Values from VASP.

```
&SYSTEM
  ibrav = 0, nat = 18, ntyp = 4
/
ATOMIC_SPECIES
K 39.10 K.upf
Ga 69.72 Ga.upf
Bi 208.98 Bi.upf
Au 196.97 Au.upf
CELL_PARAMETERS angstrom
3.573 2.063 10.013
-3.573 2.063 10.013
0.000 -4.126 10.013
ATOMIC_POSITIONS crystal
K 0.151 0.151 0.151
K 0.849 0.849 0.849
Ga 0.000 0.500 0.500
Ga 0.500 0.000 0.500
Ga 0.500 0.500 0.000
Bi 0.500 0.500 0.500
Au 0.089 0.089 0.692
Au 0.089 0.692 0.089
Au 0.148 0.557 0.557
Au 0.308 0.911 0.911
Au 0.443 0.443 0.852
Au 0.443 0.852 0.443
Au 0.557 0.148 0.557
Au 0.557 0.557 0.148
Au 0.692 0.089 0.089
Au 0.852 0.443 0.443
Au 0.911 0.308 0.911
Au 0.911 0.911 0.308
```

**Energy of formation**: -0.09 eV per atom
**Space group**: R-3m (166)
**Calculated density**: 10.72 g cm⁻³

no.,E_tot (eV/atom)
1,-6.534
2,-5.609
3,-6.260
4,-3.886
5,-6.118
6,-5.781
7,-5.061
8,-2.862
9,-4.122
10,-5.414
11,-4.754
12,-3.115